Record 1
A geometry-optimized Ga2NiMoS structure, computed with GGA-PBE.

Cell and atoms, written as POSCAR:
```
Ga2NiMoS
1.0
4.640 0.000 0.000
0.000 4.640 0.000
0.000 0.000 4.369
Ga Ni Mo S
2 1 1 1
Cartesian
0.000 2.320 0.000 Ga
2.320 0.000 0.000 Ga
0.000 0.000 2.184 Ni
2.320 2.320 2.184 Mo
2.320 2.320 0.000 S
```

## Properties
The value obtained for the total energy is -4.47 eV per atom. As for the space group: P4/mmm. The value obtained for the size of the total moment is 0.15 μB/f.u.

---

Record 2
A geometry-optimized SrGaNi2Mo structure, computed with GGA-PBE.

Cell and atoms, written as POSCAR:
```
SrGaNi2Mo
1.0
4.492 0.000 0.000
0.000 4.492 0.000
0.000 0.000 5.273
Sr Ga Ni Mo
1 1 2 1
Cartesian
0.000 0.000 0.000 Sr
0.000 0.000 2.637 Ga
0.000 2.246 0.000 Ni
2.246 0.000 0.000 Ni
2.246 2.246 2.637 Mo
```

## Properties
The formation enthalpy at 0 K is 2079 meV/atom. The value obtained for the total energy is -3.34 eV per atom. As for the space group: P4/mmm. The value obtained for the size of the total moment is 0.00 μB/f.u.

---

Record 3
A geometry-optimized Ti3Ga3Ni2Mo structure, computed with GGA-PBE.

Cell and atoms, written as POSCAR:
```
Ti3Ga3Ni2Mo
1.0
7.181 0.000 0.000
-3.591 6.219 0.000
0.000 0.000 3.054
Ti Ga Ni Mo
3 3 2 1
Cartesian
-2.550 4.417 0.000 Ti
1.040 1.802 0.000 Ti
5.100 0.000 0.000 Ti
-1.355 2.346 1.527 Ga
2.709 0.000 1.527 Ga
2.236 3.873 1.527 Ga
0.000 4.146 0.000 Ni
3.591 2.073 0.000 Ni
0.000 0.000 1.527 Mo
```

## Properties
The formation enthalpy at 0 K is -252 meV/atom. The value obtained for the total energy is -6.38 eV per atom. As for the space group: P-62m. The value obtained for the size of the total moment is 0.00 μB/f.u.

---

Record 4
A geometry-optimized NpGa2Mo structure, computed with GGA-PBE.

Cell and atoms, written as POSCAR:
```
NpGa2Mo
1.0
2.868 0.000 0.000
-1.434 2.484 0.000
0.000 0.000 29.426
Np Ga Mo
3 6 3
Cartesian
0.000 0.000 0.000 Np
0.000 1.656 19.617 Np
1.434 0.828 9.808 Np
0.000 0.000 7.124 Ga
0.000 0.000 22.301 Ga
0.000 1.656 12.493 Ga
0.000 1.656 26.741 Ga
1.434 0.828 2.684 Ga
1.434 0.828 16.933 Ga
0.000 0.000 14.713 Mo
0.000 1.656 4.904 Mo
1.434 0.828 24.521 Mo
```

## Properties
The formation enthalpy at 0 K is 18 meV/atom. The value obtained for the total energy is -7.44 eV per atom. As for the space group: R-3m. The value obtained for the size of the total moment is 3.17 μB/f.u.

---

Record 5
A geometry-optimized NpGaMoRu structure, computed with GGA-PBE.

Cell and atoms, written as POSCAR:
```
NpGaMoRu
1.0
6.462 0.000 0.000
0.000 6.462 0.000
0.000 0.000 6.462
Np Ga Mo Ru
4 4 4 4
Cartesian
0.000 0.000 0.000 Np
0.000 3.231 3.231 Np
3.231 0.000 3.231 Np
3.231 3.231 0.000 Np
0.000 0.000 3.231 Ga
0.000 3.231 0.000 Ga
3.231 0.000 0.000 Ga
3.231 3.231 3.231 Ga
1.616 1.616 4.847 Mo
1.616 4.847 1.616 Mo
4.847 1.616 1.616 Mo
4.847 4.847 4.847 Mo
1.616 1.616 1.616 Ru
1.616 4.847 4.847 Ru
4.847 1.616 4.847 Ru
4.847 4.847 1.616 Ru
```

## Properties
The formation enthalpy at 0 K is -9 meV/atom. The value obtained for the total energy is -9.03 eV per atom. As for the space group: F-43m. The value obtained for the size of the total moment is 2.59 μB/f.u.

---

Record 6
A geometry-optimized NpTiGaMo structure, computed with GGA-PBE.

Cell and atoms, written as POSCAR:
```
NpTiGaMo
1.0
6.639 0.000 0.000
0.000 6.639 0.000
0.000 0.000 6.639
Np Ti Ga Mo
4 4 4 4
Cartesian
0.000 0.000 0.000 Np
0.000 3.320 3.320 Np
3.320 0.000 3.320 Np
3.320 3.320 0.000 Np
0.000 0.000 3.320 Ti
0.000 3.320 0.000 Ti
3.320 0.000 0.000 Ti
3.320 3.320 3.320 Ti
1.660 1.660 4.979 Ga
1.660 4.979 1.660 Ga
4.979 1.660 1.660 Ga
4.979 4.979 4.979 Ga
1.660 1.660 1.660 Mo
1.660 4.979 4.979 Mo
4.979 1.660 4.979 Mo
4.979 4.979 1.660 Mo
```

## Properties
The formation enthalpy at 0 K is 151 meV/atom. The value obtained for the total energy is -8.52 eV per atom. As for the space group: F-43m. The value obtained for the size of the total moment is 3.50 μB/f.u.